Entry from Alexandria via LeMat-Bulk: a relaxed structure of ZnIn3 (PBE).

Cell lengths 3.4793, 3.4793, 9.5496 Å; angles 90.00, 90.00, 120.00 degrees
Last column: nearest neighbours and their distance in Å.
Atoms (fractional coordinates):
In1 0.0000 0.0000 0.5254  3 Zn 2.94
In2 0.6667 0.3333 0.2500  12 In 3.31-3.48
In3 0.0000 0.0000 0.9746  3 Zn 2.94
Zn1 0.6667 0.3333 0.7500  6 In 2.94

Summary:
- Calculated total energy: -9.154 eV/f.u.
- DOS(E_F): 0.369 states/eV/atom
- Magnetization: 0.00 μB/f.u.
- Space group: P-6m2, No. 187
- E_form: 8 kJ per mole of atoms